one:
Below is a relaxed structure of Pr2NdHo2, with properties calculated at the PBE level.

## Properties
crystal system	monoclinic
magnetization	0.00	μB/cell
Fermi-level density of states	6.5	states/eV/f.u.

Cell and atoms, written as POSCAR:
```
Pr2NdHo2
1.0
3.156 -1.825 0.000
3.156 1.825 0.000
-2.120 0.000 14.705
Pr Nd Ho
2 1 2
Cartesian
-0.006 0.000 5.795
4.198 0.000 8.910
0.000 0.000 0.000
2.105 0.000 2.886
2.087 0.000 11.819
```

=====

two:
Below is a relaxed structure of Pr2NdHo2, with properties calculated at the PBE level.

## Properties
crystal system	monoclinic
magnetization	0.00	μB/cell
Fermi-level density of states	6.5	states/eV/f.u.

Cell and atoms, written as POSCAR:
```
Pr2NdHo2
1.0
4.373 -6.705 0.000
4.373 6.705 0.000
-2.201 0.000 6.013
Pr Nd Ho
4 2 4
Cartesian
0.627 0.845 2.530
-0.474 -0.845 5.537
7.018 0.845 0.476
5.918 -0.845 3.483
3.823 0.966 1.503
2.722 -0.966 4.510
3.823 4.301 1.503
2.722 2.671 4.510
3.823 -2.671 1.503
2.722 -4.301 4.510
```

=====

What should be chosen as the most stable of them? Choose one.

=====

one:
Below is a relaxed structure of Pr2Nd7Ho3, with properties calculated at the PBE level.

## Properties
crystal system	orthorhombic
magnetization	0.00	μB/cell
Fermi-level density of states	20.1	states/eV/f.u.

Cell and atoms, written as POSCAR:
```
Pr2Nd7Ho3
1.0
2.926 -19.350 0.000
2.926 19.350 0.000
0.000 0.000 3.674
Pr Nd Ho
2 7 3
Cartesian
2.926 13.605 0.000
2.926 -13.605 0.000
0.000 0.000 0.000
2.926 16.584 1.837
2.926 10.393 0.000
2.926 3.503 0.000
2.926 -3.503 0.000
2.926 -10.393 0.000
2.926 -16.584 1.837
2.926 7.176 1.837
2.926 0.000 1.837
2.926 -7.176 1.837
```

=====

two:
Below is a relaxed structure of Pr2Nd7Ho3, with properties calculated at the PBE level.

## Properties
crystal system	monoclinic
magnetization	0.00	μB/cell
Fermi-level density of states	18.2	states/eV/f.u.

Cell and atoms, written as POSCAR:
```
Pr2Nd7Ho3
1.0
6.512 0.000 0.000
0.000 3.591 0.000
-1.807 0.000 17.696
Pr Nd Ho
2 7 3
Cartesian
0.071 0.000 3.019
4.635 0.000 14.676
-0.903 1.796 8.848
0.278 0.000 11.851
-0.117 0.000 17.623
1.206 1.796 5.946
3.500 1.796 11.750
4.823 0.000 0.072
4.428 0.000 5.845
1.447 1.796 14.883
2.353 0.000 8.848
3.259 1.796 2.813
```

=====

What should be chosen as the most stable of them? Choose two.